[1]
DFT (PBE with a Hubbard U) results for a relaxed structure of NiSn3F.

Unit cell a=4.823 b=4.823 c=4.823 alpha=90.00 beta=90.00 gamma=90.00
Fractional coordinates of all 5 atoms:
Ni  0.000  0.000  0.000
Sn  0.000  0.500  0.500
Sn  0.500  0.000  0.500
Sn  0.500  0.500  0.000
F  0.500  0.500  0.500

Calculated values
energy above the lowest structure with this stoichiometry = 319 meV per atom
DFT total energy = -3.03 eV/atom
D(E_F) = 0.7215 states/eV/atom
total moment = 0.000 μB per cell



[2]
DFT (PBE with a Hubbard U) results for a relaxed structure of NiSnF2.

Unit cell a=6.007 b=6.007 c=6.007 alpha=90.00 beta=90.00 gamma=90.00
Fractional coordinates of all 16 atoms:
Ni  0.000  0.000  0.000
Ni  0.000  0.500  0.500
Ni  0.500  0.000  0.500
Ni  0.500  0.500  0.000
Sn  0.000  0.000  0.500
Sn  0.000  0.500  0.000
Sn  0.500  0.000  0.000
Sn  0.500  0.500  0.500
F  0.250  0.250  0.250
F  0.250  0.250  0.750
F  0.250  0.750  0.250
F  0.250  0.750  0.750
F  0.750  0.250  0.250
F  0.750  0.250  0.750
F  0.750  0.750  0.250
F  0.750  0.750  0.750

Calculated values
energy above the lowest structure with this stoichiometry = 839 meV per atom
DFT total energy = -3.18 eV/atom
D(E_F) = 0.0000 states/eV/atom
total moment = 0.000 μB per cell